# 1
Tl2FeNi PBE optimized geometry; excess energy over the best structure of this formula in the dataset = 414 meV per atom; mass density = 10.396 g/cm3
1.0
4.2646 0.0000 0.0000
0.0000 4.2646 0.0000
0.0000 0.0000 18.3850
Tl Fe Ni
8 4 4
direct
0.2450 0.2500 0.1250
0.2500 0.7450 0.3750
0.2500 0.7550 0.8750
0.2550 0.2500 0.6250
0.7450 0.7500 0.6250
0.7500 0.2450 0.8750
0.7500 0.2550 0.3750
0.7550 0.7500 0.1250
0.0000 0.0000 0.5000
0.0000 0.5000 0.7500
0.5000 0.0000 0.2500
0.5000 0.5000 0.0000
0.0000 0.0000 0.0000
0.0000 0.5000 0.2500
0.5000 0.0000 0.7500
0.5000 0.5000 0.5000



# 2
Tl2FeNi PBE optimized geometry; excess energy over the best structure of this formula in the dataset = 162 meV per atom; mass density = 12.392 g/cm3
1.0
6.5610 0.0000 0.0000
0.0000 6.5141 0.0000
-0.0106 0.0000 3.2815
Tl Fe Ni
4 2 2
direct
0.2500 0.2500 0.0000
0.2500 0.7500 0.0000
0.7500 0.2500 0.0000
0.7500 0.7500 0.0000
0.0000 0.0000 0.5000
0.5000 0.5000 0.5000
0.0000 0.5000 0.5000
0.5000 0.0000 0.5000



# 3
TlFe2Ni PBE optimized geometry; excess energy over the best structure of this formula in the dataset = 40 meV per atom; mass density = 11.018 g/cm3
1.0
3.9660 0.0000 0.0000
0.0000 3.9660 0.0000
0.0000 0.0000 7.1817
Tl Fe Ni
2 4 2
direct
0.0000 0.0000 0.0000
0.5000 0.5000 0.5000
0.0000 0.0000 0.5000
0.0000 0.5000 0.2500
0.5000 0.0000 0.7500
0.5000 0.5000 0.0000
0.0000 0.5000 0.7500
0.5000 0.0000 0.2500



# 4
Tl2FeNi PBE optimized geometry; excess energy over the best structure of this formula in the dataset = 193 meV per atom; mass density = 12.313 g/cm3
1.0
6.5599 0.0000 0.0000
0.0000 6.5599 0.0000
0.0000 0.0000 6.5599
Tl Fe Ni
8 4 4
direct
0.2500 0.2500 0.2500
0.2500 0.2500 0.7500
0.2500 0.7500 0.2500
0.2500 0.7500 0.7500
0.7500 0.2500 0.2500
0.7500 0.2500 0.7500
0.7500 0.7500 0.2500
0.7500 0.7500 0.7500
0.0000 0.0000 0.0000
0.0000 0.5000 0.5000
0.5000 0.0000 0.5000
0.5000 0.5000 0.0000
0.0000 0.0000 0.5000
0.0000 0.5000 0.0000
0.5000 0.0000 0.0000
0.5000 0.5000 0.5000



# 5
TlFe2Ni PBE optimized geometry; excess energy over the best structure of this formula in the dataset = 37 meV per atom; mass density = 10.938 g/cm3
1.0
3.7352 0.0000 0.0000
0.0000 3.7352 0.0000
0.0000 0.0000 4.0779
Tl Fe Ni
1 2 1
direct
0.0000 0.0000 0.0000
0.0000 0.5000 0.5000
0.5000 0.0000 0.5000
0.5000 0.5000 0.0000



# 6
TlFeNi2 PBE optimized geometry; excess energy over the best structure of this formula in the dataset = 54 meV per atom; mass density = 11.140 g/cm3
1.0
6.0835 0.0000 0.0000
0.0000 6.0835 0.0000
0.0000 0.0000 6.0835
Tl Fe Ni
4 4 8
direct
0.0000 0.0000 0.0000
0.0000 0.5000 0.5000
0.5000 0.0000 0.5000
0.5000 0.5000 0.0000
0.0000 0.0000 0.5000
0.0000 0.5000 0.0000
0.5000 0.0000 0.0000
0.5000 0.5000 0.5000
0.2500 0.2500 0.2500
0.2500 0.2500 0.7500
0.2500 0.7500 0.2500
0.2500 0.7500 0.7500
0.7500 0.2500 0.2500
0.7500 0.2500 0.7500
0.7500 0.7500 0.2500
0.7500 0.7500 0.7500



# 7
TlFeNi2 PBE optimized geometry; excess energy over the best structure of this formula in the dataset = 105 meV per atom; mass density = 11.133 g/cm3
1.0
3.8946 0.0000 0.0000
0.0000 3.8946 0.0000
0.0000 0.0000 3.7135
Tl Fe Ni
1 1 2
direct
0.0000 0.0000 0.0000
0.5000 0.5000 0.0000
0.0000 0.5000 0.5000
0.5000 0.0000 0.5000



# 8
Tl2FeNi2 PBE optimized geometry; mass density = 11.507 g/cm3
1.0
6.4504 0.0000 0.0000
0.0000 6.4504 0.0000
0.0000 0.0000 4.0370
Tl Fe Ni
4 2 4
direct
0.1745 0.3255 0.0000
0.3255 0.8255 0.0000
0.6745 0.1745 0.0000
0.8255 0.6745 0.0000
0.0000 0.0000 0.5000
0.5000 0.5000 0.5000
0.1354 0.6354 0.5000
0.3646 0.1354 0.5000
0.6354 0.8646 0.5000
0.8646 0.3646 0.5000



# 9
Tl2FeNi PBE optimized geometry; excess energy over the best structure of this formula in the dataset = 98 meV per atom; mass density = 11.303 g/cm3
1.0
12.0369 0.0000 0.0000
0.0000 3.0644 0.0000
-1.6288 0.0000 4.1686
Tl Fe Ni
4 2 2
direct
0.0000 0.0000 0.0000
0.2190 0.0000 0.7178
0.5000 0.5000 0.0000
0.7190 0.5000 0.7178
0.3067 0.5000 0.3048
0.8067 0.0000 0.3048
0.4755 0.0000 0.4758
0.9755 0.5000 0.4758



# 10
Tl2FeNi PBE optimized geometry; excess energy over the best structure of this formula in the dataset = 237 meV per atom; mass density = 11.713 g/cm3
1.0
8.4962 0.0000 0.0000
0.0000 3.1535 0.0000
-1.1559 0.0000 5.5379
Tl Fe Ni
4 2 2
direct
0.2462 0.0000 0.2435
0.2538 0.5000 0.7565
0.7462 0.5000 0.2435
0.7538 0.0000 0.7565
0.0000 0.0000 0.5000
0.5000 0.5000 0.5000
0.0000 0.5000 0.0000
0.5000 0.0000 0.0000



# 11
TlFe2Ni PBE optimized geometry; excess energy over the best structure of this formula in the dataset = 324 meV per atom; mass density = 9.939 g/cm3
1.0
3.6627 0.0000 0.0000
0.0000 3.6627 0.0000
0.0000 0.0000 18.6699
Tl Fe Ni
4 8 4
direct
0.0000 0.0000 0.0000
0.0000 0.5000 0.2500
0.5000 0.0000 0.7500
0.5000 0.5000 0.5000
0.2232 0.2500 0.6250
0.2500 0.7232 0.8750
0.2500 0.7768 0.3750
0.2768 0.2500 0.1250
0.7232 0.7500 0.1250
0.7500 0.2232 0.3750
0.7500 0.2768 0.8750
0.7768 0.7500 0.6250
0.0000 0.0000 0.5000
0.0000 0.5000 0.7500
0.5000 0.0000 0.2500
0.5000 0.5000 0.0000



# 12
Tl3FeNi PBE optimized geometry; excess energy over the best structure of this formula in the dataset = 141 meV per atom; mass density = 9.171 g/cm3
1.0
5.0885 0.0000 0.0000
0.0000 5.0885 0.0000
0.0000 0.0000 5.0885
Tl Fe Ni
3 1 1
direct
0.0000 0.0000 0.5000
0.0000 0.5000 0.0000
0.5000 0.0000 0.0000
0.0000 0.0000 0.0000
0.5000 0.5000 0.5000



no.,energy of formation from the pure elements (eV/atom)
1,0.771
2,0.519
3,0.357
4,0.550
5,0.354
6,0.275
7,0.326
8,0.396
9,0.455
10,0.594
11,0.641
12,0.859